PBE ZrTeO, optimized geometry; space-group type = No. 156; total energy = -7.399 eV/atom; DOS at the Fermi energy = 0.44 states/eV/cell
1.0
3.603 0.000 0.000
-1.801 3.120 0.000
0.000 0.000 5.932
Zr Te O
1 1 1
direct
0.000 0.000 0.000
0.333 0.667 0.654
0.667 0.333 0.106